Below is crystalline Sm2Y2Sc3 at its relaxed geometry, with properties calculated at the GGA-PBE level.

Summary:
For the magnetic moment, the calculation gives 0.000 μB/f.u. As for the space-group type: Pbam (55). As for the relative energy among the computed polymorphs: 0 meV/atom. As for the energy relative to the elements: 14.48 kJ/mol of atoms. For the density of states at the Fermi level, the calculation gives 24.0 states/eV/cell. The calculation puts the electronic total energy at -5.759 eV per atom.

Unit cell a=6.443 b=5.391 c=12.010 alpha=90.00 beta=90.00 gamma=90.05
Sites, in units of the cell vectors:
Sm: 0.614 0.500 0.805
Sm: 0.386 0.500 0.195
Sm: 0.114 0.500 0.695
Sm: 0.886 0.500 0.305
Sc: 0.780 0.500 0.033
Sc: 0.220 0.500 0.967
Sc: 0.500 0.000 0.000
Sc: 0.000 0.000 0.500
Sc: 0.720 0.500 0.533
Sc: 0.280 0.500 0.467
Y: 0.530 0.000 0.353
Y: 0.470 0.000 0.647
Y: 0.970 0.000 0.853
Y: 0.030 0.000 0.147

***

Below is crystalline GaSnAu2 at its relaxed geometry, with properties calculated at the GGA-PBE level.

Summary:
For the magnetic moment, the calculation gives 0.000 μB/f.u. As for the space-group type: R-3m (166). As for the relative energy among the computed polymorphs: 57 meV/atom. As for the energy relative to the elements: -12.37 kJ/mol of atoms. For the density of states at the Fermi level, the calculation gives 1.5 states/eV/cell. The calculation puts the electronic total energy at -3.524 eV per atom.

Unit cell a=3.599 b=3.599 c=7.847 alpha=76.74 beta=76.74 gamma=60.00
Sites, in units of the cell vectors:
Au: 0.743 0.743 0.771
Au: 0.257 0.257 0.229
Ga: 0.000 0.000 0.000
Sn: 0.500 0.500 0.500

***

Below is crystalline AcU3Tl2O12 at its relaxed geometry, with properties calculated at the GGA-PBE level.

Summary:
For the magnetic moment, the calculation gives 0.000 μB/f.u. As for the space-group type: R-3m (166). Its uncorrected formation energy is -2.667 eV/atom. For the density of states at the Fermi level, the calculation gives 10.7 states/eV/cell. The calculation puts the electronic total energy at -8.345 eV per atom.

Unit cell a=7.290 b=7.290 c=7.290 alpha=68.95 beta=68.95 gamma=68.95
Sites, in units of the cell vectors:
O: 0.141 0.141 0.563
O: 0.251 0.908 0.251
O: 0.563 0.141 0.141
O: 0.092 0.749 0.749
O: 0.749 0.749 0.092
O: 0.141 0.563 0.141
O: 0.859 0.437 0.859
O: 0.251 0.251 0.908
O: 0.908 0.251 0.251
O: 0.859 0.859 0.437
O: 0.749 0.092 0.749
O: 0.437 0.859 0.859
U: 0.500 0.000 0.000
U: 0.000 0.500 0.000
U: 0.000 0.000 0.500
Tl: 0.621 0.621 0.621
Tl: 0.379 0.379 0.379
Ac: 0.000 0.000 0.000

***

Below is crystalline Cs2K15Rb2 at its relaxed geometry, with properties calculated at the GGA-PBE level.

Summary:
For the magnetic moment, the calculation gives 0.000 μB/f.u. As for the space-group type: R-3m (166). As for the energy relative to the elements: 1.83 kJ/mol of atoms. For the density of states at the Fermi level, the calculation gives 15.6 states/eV/cell. The calculation puts the electronic total energy at -1.039 eV per atom.

Unit cell a=11.659 b=11.659 c=11.659 alpha=82.11 beta=82.11 gamma=82.11
Sites, in units of the cell vectors:
K: 0.696 0.000 0.304
K: 0.158 0.645 0.645
K: 0.696 0.304 0.000
K: 0.000 0.000 0.500
K: 0.355 0.842 0.355
K: 0.000 0.304 0.696
K: 0.645 0.645 0.158
K: 0.842 0.355 0.355
K: 0.000 0.696 0.304
K: 0.645 0.158 0.645
K: 0.000 0.500 0.000
K: 0.500 0.000 0.000
K: 0.355 0.355 0.842
K: 0.304 0.696 0.000
K: 0.304 0.000 0.696
Rb: 0.101 0.101 0.101
Rb: 0.899 0.899 0.899
Cs: 0.338 0.338 0.338
Cs: 0.662 0.662 0.662

***

Below is crystalline Er2SbRu at its relaxed geometry, with properties calculated at the GGA-PBE level.

Summary:
For the magnetic moment, the calculation gives 0.001 μB/f.u. As for the space-group type: R-3m (166). As for the relative energy among the computed polymorphs: 163 meV/atom. Its uncorrected formation energy is -0.458 eV/atom. For the density of states at the Fermi level, the calculation gives 3.1 states/eV/cell. The calculation puts the electronic total energy at -6.089 eV per atom.

Unit cell a=5.028 b=5.028 c=5.042 alpha=60.09 beta=60.09 gamma=60.00
Sites, in units of the cell vectors:
Ru: 0.500 0.500 0.500
Er: 0.250 0.250 0.251
Er: 0.750 0.750 0.749
Sb: 0.000 0.000 0.000

***

Below is crystalline PmNd5Er2Mg at its relaxed geometry, with properties calculated at the GGA-PBE level.

Summary:
For the magnetic moment, the calculation gives 0.000 μB/f.u. As for the space-group type: I4/mcm (140). As for the energy relative to the elements: 23.64 kJ/mol of atoms. For the density of states at the Fermi level, the calculation gives 21.5 states/eV/cell. The calculation puts the electronic total energy at -4.123 eV per atom.

Unit cell a=9.524 b=9.524 c=9.587 alpha=119.78 beta=119.78 gamma=90.00
Sites, in units of the cell vectors:
Er: 0.389 0.889 0.000
Er: 0.111 0.389 0.000
Er: 0.611 0.111 0.000
Er: 0.889 0.611 0.000
Nd: 0.327 0.827 0.266
Nd: 0.939 0.439 0.266
Nd: 0.439 0.327 0.266
Nd: 0.000 0.000 0.000
Nd: 0.827 0.939 0.266
Nd: 0.500 0.500 0.000
Nd: 0.173 0.061 0.734
Nd: 0.061 0.561 0.734
Nd: 0.561 0.673 0.734
Nd: 0.673 0.173 0.734
Mg: 0.250 0.750 0.500
Mg: 0.750 0.250 0.500
Pm: 0.250 0.250 0.500
Pm: 0.750 0.750 0.500

***

Q: The lowest electronic total energy belongs to which entry?
A: AcU3Tl2O12

***

Q: The lowest electronic total energy belongs to which entry?
A: AcU3Tl2O12